(1)
# GGA-PBE Nd3Te2, relaxed
data_Nd3Te2
_chemical_formula_sum 'Nd18 Te12'
_cell_length_a 7.6332
_cell_length_b 7.6332
_cell_length_c 21.5494
_cell_angle_alpha 90.00
_cell_angle_beta 90.00
_cell_angle_gamma 120.00
_space_group_name_H-M_alt 'R -3 c'
_space_group_IT_number 167
_space_group_name_Hall '-R 3 2"c'
loop_
_atom_site_label
_atom_site_type_symbol
_atom_site_fract_x
_atom_site_fract_y
_atom_site_fract_z
Nd1 Nd 0.0000 0.3302 0.2500
Te1 Te 0.0000 0.0000 0.1624
# E_form (uncorrected): -957 meV/atom
# Size of the total moment: 0.00 μB/f.u.
# Energy above the lowest structure with this stoichiometry: 0.96 eV/f.u.

(2)
# GGA-PBE Hf2TlHgPd, relaxed
data_Hf2TlHgPd
_chemical_formula_sum 'Hf2 Tl1 Hg1 Pd1'
_cell_length_a 5.2367
_cell_length_b 5.2367
_cell_length_c 5.2329
_cell_angle_alpha 90.00
_cell_angle_beta 90.00
_cell_angle_gamma 90.00
_space_group_name_H-M_alt 'P 4/m m m'
_space_group_IT_number 123
_space_group_name_Hall '-P 4 2'
loop_
_atom_site_label
_atom_site_type_symbol
_atom_site_fract_x
_atom_site_fract_y
_atom_site_fract_z
Hf1 Hf 0.0000 0.5000 0.0000
Tl1 Tl 0.0000 0.0000 0.5000
Hg1 Hg 0.0000 0.0000 0.0000
Pd1 Pd 0.5000 0.5000 0.5000
# Final energy: -21.41 eV for the cell shown
# Size of the total moment: 0.00 μB/f.u.

(3)
# GGA-PBE La2YCd, relaxed
data_La2YCd
_chemical_formula_sum 'La2 Y1 Cd1'
_cell_length_a 3.6138
_cell_length_b 5.8325
_cell_length_c 6.0575
_cell_angle_alpha 90.00
_cell_angle_beta 98.92
_cell_angle_gamma 90.00
_space_group_name_H-M_alt 'P 1 2/m 1'
_space_group_IT_number 10
_space_group_name_Hall '-P 2y'
loop_
_atom_site_label
_atom_site_type_symbol
_atom_site_fract_x
_atom_site_fract_y
_atom_site_fract_z
La1 La 0.2020 0.0000 0.2735
Y1 Y 0.5000 0.5000 0.0000
Cd1 Cd 0.0000 0.5000 0.5000
# Final energy: -17.41 eV for the cell shown
# Size of the total moment: 0.00 μB/f.u.

(4)
# GGA-PBE K4NaCl5, relaxed
data_K4NaCl5
_chemical_formula_sum 'K8 Na2 Cl10'
_cell_length_a 4.3806
_cell_length_b 6.2831
_cell_length_c 22.1626
_cell_angle_alpha 90.00
_cell_angle_beta 90.00
_cell_angle_gamma 90.00
_space_group_name_H-M_alt 'I m m m'
_space_group_IT_number 71
_space_group_name_Hall '-I 2 2'
loop_
_atom_site_label
_atom_site_type_symbol
_atom_site_fract_x
_atom_site_fract_y
_atom_site_fract_z
K1 K 0.0000 0.0000 0.0988
K2 K 0.0000 0.0000 0.3046
Na1 Na 0.0000 0.0000 0.5000
Cl1 Cl 0.0000 0.5000 0.0886
Cl2 Cl 0.0000 0.5000 0.2986
Cl3 Cl 0.0000 0.5000 0.5000
# E_form (uncorrected): -1912 meV/atom
# Size of the total moment: 0.00 μB/f.u.
# Energy above the lowest structure with this stoichiometry: 0.04 eV/f.u.

(5)
# GGA-PBE Sc3TcO, relaxed
data_Sc3TcO
_chemical_formula_sum 'Sc12 Tc4 O4'
_cell_length_a 10.1989
_cell_length_b 4.5935
_cell_length_c 7.5275
_cell_angle_alpha 90.00
_cell_angle_beta 112.12
_cell_angle_gamma 90.00
_space_group_name_H-M_alt 'C 1 2/m 1'
_space_group_IT_number 12
_space_group_name_Hall '-C 2y'
loop_
_atom_site_label
_atom_site_type_symbol
_atom_site_fract_x
_atom_site_fract_y
_atom_site_fract_z
Sc1 Sc 0.1065 0.0000 0.2187
Sc2 Sc 0.1294 0.5000 0.9143
Sc3 Sc 0.1498 0.0000 0.6485
Tc1 Tc 0.1049 0.5000 0.4525
O1 O 0.1332 0.0000 0.9366
# E_form (uncorrected): -1323 meV/atom
# Size of the total moment: 0.00 μB/f.u.
# Energy above the lowest structure with this stoichiometry: 0.00 eV/f.u.

(6)
# GGA-PBE Pr4InAu, relaxed
data_Pr4InAu
_chemical_formula_sum 'Pr16 In4 Au4'
_cell_length_a 5.6677
_cell_length_b 21.7429
_cell_length_c 6.5954
_cell_angle_alpha 90.00
_cell_angle_beta 90.00
_cell_angle_gamma 90.00
_space_group_name_H-M_alt 'C m c 21'
_space_group_IT_number 36
_space_group_name_Hall 'C 2c -2'
loop_
_atom_site_label
_atom_site_type_symbol
_atom_site_fract_x
_atom_site_fract_y
_atom_site_fract_z
Pr1 Pr 0.0000 0.0583 0.0000
Pr2 Pr 0.0000 0.1986 0.2739
Pr3 Pr 0.0000 0.2165 0.7916
Pr4 Pr 0.0000 0.3874 0.0408
In1 In 0.0000 0.3465 0.5259
Au1 Au 0.0000 0.0780 0.5177
# Size of the total moment: 0.00 μB/f.u.
# Energy above the lowest structure with this stoichiometry: 0.73 eV/f.u.

(7)
# GGA-PBE Nd7Tm5, relaxed
data_Nd7Tm5
_chemical_formula_sum 'Nd14 Tm10'
_cell_length_a 18.7089
_cell_length_b 3.6285
_cell_length_c 13.2154
_cell_angle_alpha 90.00
_cell_angle_beta 118.04
_cell_angle_gamma 90.00
_space_group_name_H-M_alt 'C 1 2/m 1'
_space_group_IT_number 12
_space_group_name_Hall '-C 2y'
loop_
_atom_site_label
_atom_site_type_symbol
_atom_site_fract_x
_atom_site_fract_y
_atom_site_fract_z
Nd1 Nd 0.0000 0.0000 0.0000
Nd2 Nd 0.0288 0.5000 0.2499
Nd3 Nd 0.1393 0.0000 0.7516
Nd4 Nd 0.1677 0.0000 0.5047
Tm1 Tm 0.0000 0.5000 0.5000
Tm2 Tm 0.1686 0.5000 0.0025
Tm3 Tm 0.1941 0.0000 0.2467
# Size of the total moment: 0.00 μB/f.u.
# Energy above the lowest structure with this stoichiometry: 0.00 eV/f.u.

(8)
# GGA-PBE Ba2PrScSe5, relaxed
data_Ba2PrScSe5
_chemical_formula_sum 'Ba8 Pr4 Sc4 Se20'
_cell_length_a 4.4673
_cell_length_b 18.1141
_cell_length_c 13.8382
_cell_angle_alpha 90.00
_cell_angle_beta 90.00
_cell_angle_gamma 90.00
_space_group_name_H-M_alt 'C m c 21'
_space_group_IT_number 36
_space_group_name_Hall 'C 2c -2'
loop_
_atom_site_label
_atom_site_type_symbol
_atom_site_fract_x
_atom_site_fract_y
_atom_site_fract_z
Ba1 Ba 0.0000 0.1058 0.0000
Ba2 Ba 0.0000 0.1398 0.6204
Pr1 Pr 0.0000 0.2130 0.3287
Sc1 Sc 0.0000 0.4716 0.7629
Se1 Se 0.0000 0.0486 0.3586
Se2 Se 0.0000 0.2832 0.9722
Se3 Se 0.0000 0.3249 0.6902
Se4 Se 0.0000 0.3763 0.3106
Se5 Se 0.0000 0.4897 0.0854
# E_form (uncorrected): -1909 meV/atom
# Size of the total moment: 0.00 μB/f.u.

Q: Which value of size of the total moment does entry 4 give?
A: 0.00 μB/f.u.